Compound: HoTm2MoO6
Source: Alexandria via LeMat-Bulk
Functional: PBE+U
Structure: optimized geometry

```
data_HoTm2MoO6
_space_group_name_H-M_alt 'P 1'
_space_group_IT_number 1
_space_group_name_Hall 'P 1'
_cell_length_a 5.6630
_cell_length_b 5.6619
_cell_length_c 5.9718
_cell_angle_alpha 61.69
_cell_angle_beta 61.67
_cell_angle_gamma 60.01
loop_
_atom_site_label
_atom_site_fract_x
_atom_site_fract_y
_atom_site_fract_z
Tm1 0.0206 0.0207 0.9380
O1 0.6122 0.2102 0.2529
Ho1 0.8077 0.8075 0.5772
O2 0.2104 0.9245 0.2527
O3 0.9246 0.6123 0.2529
O4 0.4149 0.7044 0.7581
Tm2 0.5266 0.5266 0.4201
O5 0.7044 0.1226 0.7581
O6 0.1224 0.4151 0.7583
Mo1 0.3177 0.3176 0.0471
```

## Properties
Final energy ... -81.4 eV for the cell shown